This record from Alexandria describes a geometry-optimized Cs2MoOsI6 structure. The functional is PBE-GGA.

Results
ΔE_f (raw) = -0.250 eV/atom
DFT total energy = -0.1307 Ha/atom

Geometry as CIF:
```
data_Cs2MoOsI6
_symmetry_space_group_name_H-M 'P 1'
_symmetry_Int_Tables_number 1
_cell_length_a 8.0959
_cell_length_b 8.0959
_cell_length_c 8.0959
_cell_angle_alpha 119.89
_cell_angle_beta 119.89
_cell_angle_gamma 90.19
loop_
_symmetry_equiv_pos_as_xyz
'x,y,z'
loop_
_atom_site_label
_atom_site_type_symbol
_atom_site_fract_x
_atom_site_fract_y
_atom_site_fract_z
Cs1 Cs 0.2500 0.7500 0.5000
Cs2 Cs 0.7500 0.2500 0.5000
Mo1 Mo 0.0000 0.0000 0.0000
Os1 Os 0.5000 0.5000 0.0000
I1 I 0.2567 0.2567 0.0000
I2 I 0.2571 0.2571 0.5142
I3 I 0.2571 0.7429 0.0000
I4 I 0.7429 0.2571 0.0000
I5 I 0.7433 0.7433 0.0000
I6 I 0.7429 0.7429 0.4858
```



This record from Alexandria describes a geometry-optimized Cs2MoPbI6 structure. The functional is PBE-GGA.

Results
ΔE_f (raw) = -0.719 eV/atom
DFT total energy = -0.1203 Ha/atom

Geometry as CIF:
```
data_Cs2MoPbI6
_symmetry_space_group_name_H-M 'P 1'
_symmetry_Int_Tables_number 1
_cell_length_a 8.6615
_cell_length_b 8.6615
_cell_length_c 8.6615
_cell_angle_alpha 120.08
_cell_angle_beta 120.08
_cell_angle_gamma 89.87
loop_
_symmetry_equiv_pos_as_xyz
'x,y,z'
loop_
_atom_site_label
_atom_site_type_symbol
_atom_site_fract_x
_atom_site_fract_y
_atom_site_fract_z
Cs1 Cs 0.2500 0.7500 0.5000
Cs2 Cs 0.7500 0.2500 0.5000
Mo1 Mo 0.0000 0.0000 0.0000
Pb1 Pb 0.5000 0.5000 0.0000
I1 I 0.2361 0.2361 0.4722
I2 I 0.2361 0.7639 0.0000
I3 I 0.2365 0.2365 0.0000
I4 I 0.7635 0.7635 0.0000
I5 I 0.7639 0.2361 0.0000
I6 I 0.7639 0.7639 0.5278
```



This record from Alexandria describes a geometry-optimized CsRbMoI6 structure. The functional is PBE-GGA.

Results
ΔE_f (raw) = -0.715 eV/atom
DFT total energy = -0.1159 Ha/atom

Geometry as CIF:
```
data_CsRbMoI6
_symmetry_space_group_name_H-M 'P 1'
_symmetry_Int_Tables_number 1
_cell_length_a 8.8180
_cell_length_b 8.8180
_cell_length_c 7.2042
_cell_angle_alpha 90.00
_cell_angle_beta 90.00
_cell_angle_gamma 120.00
loop_
_symmetry_equiv_pos_as_xyz
'x,y,z'
loop_
_atom_site_label
_atom_site_type_symbol
_atom_site_fract_x
_atom_site_fract_y
_atom_site_fract_z
Cs1 Cs 0.0000 0.0000 0.0000
Rb1 Rb 0.3333 0.6667 0.5000
Mo1 Mo 0.6667 0.3333 0.5000
I1 I 0.4132 0.0743 0.7262
I2 I 0.4132 0.3388 0.2738
I3 I 0.6612 0.0743 0.2738
I4 I 0.6612 0.5868 0.7262
I5 I 0.9257 0.3388 0.7262
I6 I 0.9257 0.5868 0.2738
```